The following is a DFT calculation (PBE with a Hubbard U) of a relaxed structure of Li3VF6.

Cell: 8.6468 8.6468 10.2704 Å, 90.00 90.00 120.00°
Space group R-3 (No. 148, hexagonal axes)
Asymmetric unit:
1 Li 0.0393 0.2669 0.2118 [18 per cell]
2 V 0.0000 0.0000 0.0000 [3 per cell]
3 V 0.0000 0.0000 0.5000 [3 per cell]
4 F 0.0169 0.1863 0.8799 [18 per cell]
5 F 0.0241 0.2014 0.3957 [18 per cell]

Results
- E (eV/atom) = -5.37
- relative energy among the computed polymorphs (meV per atom) = 13.4